[1]
Compound: PuZrZnHg
Source: Alexandria
Functional: PBE
Structure: relaxed

Summary:
Density: 10.96 g/cm³
VASP energy: -6.136 eV per atom
SG: F-43m (216)
M_tot: 6.96 μB per formula unit
Calculated volume: 91.1 Å³/f.u.

a b c (Å): 5.0505 5.0505 5.0505
angles (deg): 60.00 60.00 60.00
Last column: nearest neighbours and their distance in Å.
Atoms (fractional coordinates):
1 Zn 0.7500 0.7500 0.7500  4 Pu 3.09, 4 Zr 3.09
2 Hg 0.2500 0.2500 0.2500  4 Pu 3.09, 4 Zr 3.09
3 Zr 0.0000 0.0000 0.0000  4 Hg 3.09, 4 Zn 3.09
4 Pu 0.5000 0.5000 0.5000  4 Zn 3.09, 4 Hg 3.09



[2]
Compound: Pu2ZrHg6
Source: Alexandria
Functional: PBE
Structure: relaxed

Summary:
Density: 14.15 g/cm³
VASP energy: -4.452 eV per atom
SG: P6/mmm (191)
M_tot: 11.73 μB per formula unit
Calculated volume: 209.2 Å³/f.u.

a b c (Å): 3.1332 8.7811 8.7812
angles (deg): 60.00 89.97 89.97
Last column: nearest neighbours and their distance in Å.
Atoms (fractional coordinates):
1 Pu 0.0000 0.3333 0.3333  2 Pu 3.13, 12 Hg 3.34
2 Pu 0.0000 0.6667 0.6667  2 Pu 3.13, 12 Hg 3.34
3 Zr 0.0000 0.0000 0.0000  2 Zr 3.13, 12 Hg 3.28-3.29
4 Hg 0.4988 0.6714 0.0000  5 Hg 2.89-3.13
5 Hg 0.5012 0.0000 0.3286  5 Hg 2.89-3.13
6 Hg 0.5012 0.3286 0.0000  5 Hg 2.89-3.13
7 Hg 0.5000 0.6714 0.3286  5 Hg 2.89-3.13
8 Hg 0.4988 0.0000 0.6714  5 Hg 2.89-3.13
9 Hg 0.5000 0.3286 0.6714  5 Hg 2.89-3.13



[3]
Compound: PuZrHg4
Source: Alexandria
Functional: PBE
Structure: relaxed

Summary:
Density: 13.78 g/cm³
VASP energy: -4.110 eV per atom
SG: P2/m (10)
M_tot: 5.96 μB per formula unit
Calculated volume: 137.1 Å³/f.u.

a b c (Å): 3.1367 5.0117 8.7182
angles (deg): 90.00 89.95 90.00
Last column: nearest neighbours and their distance in Å.
Atoms (fractional coordinates):
1 Pu 0.5000 0.0000 0.0000  2 Pu 3.14, 12 Hg 3.32-3.35
2 Zr 0.5000 0.5000 0.5000  2 Zr 3.14, 12 Hg 3.24-3.28
3 Hg 0.0027 0.0000 0.6607  5 Hg 2.80-3.14
4 Hg 0.9998 0.5000 0.8258  5 Hg 2.89-3.14
5 Hg 0.9973 0.0000 0.3393  5 Hg 2.80-3.14
6 Hg 0.0002 0.5000 0.1742  5 Hg 2.89-3.14



[4]
Compound: Pu2ZrHg3
Source: Alexandria
Functional: PBE
Structure: relaxed

Summary:
Density: 13.89 g/cm³
VASP energy: -6.482 eV per atom
SG: P4/mmm (123)
M_tot: 11.52 μB per formula unit
Calculated volume: 141.2 Å³/f.u.

a b c (Å): 3.1798 3.1798 13.9653
angles (deg): 90.00 90.00 90.00
Last column: nearest neighbours and their distance in Å.
Atoms (fractional coordinates):
1 Pu 0.5000 0.5000 0.8262  4 Pu 3.18, 8 Hg 3.30-3.31
2 Pu 0.5000 0.5000 0.1738  4 Pu 3.18, 8 Hg 3.30-3.31
3 Zr 0.5000 0.5000 0.5000  8 Hg 3.10, 4 Zr 3.18
4 Hg 0.0000 0.0000 0.0000  4 Hg 3.18, 8 Pu 3.31
5 Hg 0.0000 0.0000 0.6532  4 Zr 3.10, 4 Hg 3.18, 4 Pu 3.30
6 Hg 0.0000 0.0000 0.3468  4 Zr 3.10, 4 Hg 3.18, 4 Pu 3.30



[5]
Compound: PuZrHg2
Source: Alexandria
Functional: PBE
Structure: relaxed

Summary:
Density: 12.58 g/cm³
VASP energy: -5.910 eV per atom
SG: Fm-3m (225)
M_tot: 6.96 μB per formula unit
Calculated volume: 97.2 Å³/f.u.

a b c (Å): 5.1616 5.1616 5.1616
angles (deg): 60.00 60.00 60.00
Last column: nearest neighbours and their distance in Å.
Atoms (fractional coordinates):
1 Hg 0.2500 0.2500 0.2500  4 Zr 3.16, 4 Pu 3.16
2 Hg 0.7500 0.7500 0.7500  4 Pu 3.16, 4 Zr 3.16
3 Zr 0.5000 0.5000 0.5000  8 Hg 3.16
4 Pu 0.0000 0.0000 0.0000  8 Hg 3.16



[6]
Compound: PuZr6Hg5
Source: Alexandria
Functional: PBE
Structure: relaxed

Summary:
Density: 11.33 g/cm³
VASP energy: -5.698 eV per atom
SG: Cmmm (65)
M_tot: 5.57 μB per formula unit
Calculated volume: 263.0 Å³/f.u.

a b c (Å): 5.0011 7.0577 7.8588
angles (deg): 90.00 71.45 90.00
Last column: nearest neighbours and their distance in Å.
Atoms (fractional coordinates):
1 Hg 0.6679 0.5000 0.6642  8 Zr 3.08-3.12
2 Hg 0.3300 0.0000 0.3400  8 Zr 3.04-3.05
3 Hg 0.0000 0.5000 0.0000  8 Zr 3.01-3.10
4 Hg 0.6700 0.0000 0.6600  8 Zr 3.04-3.05
5 Hg 0.3321 0.5000 0.3358  8 Zr 3.08-3.12
6 Zr 0.8385 0.7552 0.3229  1 Pu 2.96, 7 Hg 3.01-3.12
7 Zr 0.8385 0.2448 0.3229  1 Pu 2.96, 7 Hg 3.01-3.12
8 Zr 0.5000 0.2411 0.0000  2 Pu 3.02, 6 Hg 3.05-3.10
9 Zr 0.5000 0.7589 0.0000  2 Pu 3.02, 6 Hg 3.05-3.10
10 Zr 0.1615 0.7552 0.6771  1 Pu 2.96, 7 Hg 3.01-3.12
11 Zr 0.1615 0.2448 0.6771  1 Pu 2.96, 7 Hg 3.01-3.12
12 Pu 0.0000 0.0000 0.0000  8 Zr 2.96-3.02



[7]
Compound: PuZr4Hg5
Source: Alexandria
Functional: PBE
Structure: relaxed

Summary:
Density: 12.07 g/cm³
VASP energy: -5.161 eV per atom
SG: P4/mmm (123)
M_tot: 6.00 μB per formula unit
Calculated volume: 221.7 Å³/f.u.

a b c (Å): 3.1869 3.1869 21.8264
angles (deg): 90.00 90.00 90.00
Last column: nearest neighbours and their distance in Å.
Atoms (fractional coordinates):
1 Pu 0.0000 0.0000 0.0000  4 Pu 3.19, 8 Hg 3.31
2 Zr 0.0000 0.0000 0.2092  8 Hg 3.09-3.11, 4 Zr 3.19
3 Zr 0.0000 0.0000 0.4030  8 Hg 3.09, 4 Zr 3.19
4 Zr 0.0000 0.0000 0.5970  8 Hg 3.09, 4 Zr 3.19
5 Zr 0.0000 0.0000 0.7908  8 Hg 3.09-3.11, 4 Zr 3.19
6 Hg 0.5000 0.5000 0.1110  4 Zr 3.11, 4 Hg 3.19, 4 Pu 3.31
7 Hg 0.5000 0.5000 0.3060  8 Zr 3.09, 4 Hg 3.19
8 Hg 0.5000 0.5000 0.5000  8 Zr 3.09, 4 Hg 3.19
9 Hg 0.5000 0.5000 0.6940  8 Zr 3.09, 4 Hg 3.19
10 Hg 0.5000 0.5000 0.8890  4 Zr 3.11, 4 Hg 3.19, 4 Pu 3.31



[8]
Compound: PuZr2Hg
Source: Alexandria
Functional: PBE
Structure: relaxed

Summary:
Density: 11.14 g/cm³
VASP energy: -7.893 eV per atom
SG: R3m (160)
M_tot: 4.90 μB per formula unit
Calculated volume: 93.4 Å³/f.u.

a b c (Å): 3.2724 3.2724 10.2506
angles (deg): 80.82 80.82 60.00
Last column: nearest neighbours and their distance in Å.
Atoms (fractional coordinates):
1 Pu 0.4997 0.4997 0.5009  6 Zr 3.17-3.19, 6 Pu 3.27
2 Zr 0.0819 0.0819 0.7542  3 Hg 3.11, 3 Pu 3.17, 6 Zr 3.27
3 Zr 0.2515 0.2515 0.2454  3 Hg 3.12, 3 Pu 3.19, 6 Zr 3.27
4 Hg 0.6668 0.6668 0.9995  6 Zr 3.11-3.12, 6 Hg 3.27